(1)
A relaxed structure of Li2MoAs. Source: the Alexandria database, functional PBE.

Structure (POSCAR):
```
Li2MoAs
1.0
-1.4870 2.0928 4.7989
1.4870 -2.0928 4.7989
1.4870 2.0928 -4.7989
Li Mo As
2 1 1
Cartesian
0.0000 0.0000 2.2104
0.0000 0.0000 7.3875
0.0000 2.0928 0.0000
1.4870 0.0000 0.0000
```

Computed properties:
final energy = -4.881 eV/atom
spin magnetization = 0.00 μB/f.u.
formation energy = -0.05 eV/atom


(2)
A relaxed structure of La6MgNi2. Source: the Alexandria database, functional PBE.

Structure (POSCAR):
```
La6MgNi2
1.0
-4.8226 5.2140 5.3477
4.8226 -5.2140 5.3477
4.8226 5.2140 -5.3477
La Mg Ni
12 2 4
Cartesian
4.8226 3.1372 -2.8785
2.8393 1.8255 0.0000
6.8060 1.8255 0.0000
1.7806 5.2140 -1.8416
3.0421 0.0000 3.5061
0.0000 2.0768 2.4692
4.8226 3.1372 2.8785
1.7806 5.2140 1.8416
3.0421 0.0000 7.1893
-1.9834 3.3885 5.3477
1.9834 3.3885 5.3477
0.0000 2.0768 8.2262
0.0000 0.0000 0.0000
0.0000 0.0000 5.3477
4.8226 0.0000 1.3663
0.0000 3.0310 0.0000
0.0000 7.3969 0.0000
0.0000 5.2140 3.9815
```

Computed properties:
final energy = -4.925 eV/atom
spin magnetization = 0.00 μB/f.u.
formation energy = -0.18 eV/atom